LiNpAgO5: optimized geometry, GGA-PBE.

Lattice parameters (Å, degrees): 5.829 5.829 8.171 104.51 104.51 111.37
Fractional positions:
Np (0.000, 0.000, 0.000)
O (0.907, 0.093, 0.750)
Ag (0.319, 0.681, 0.250)
O (0.783, 0.637, 0.436)
O (0.973, 0.318, 0.144)
O (0.318, 0.973, 0.644)
Li (0.298, 0.702, 0.750)
O (0.027, 0.682, 0.856)
O (0.363, 0.217, 0.064)
O (0.682, 0.027, 0.356)
O (0.217, 0.363, 0.564)
O (0.637, 0.783, 0.936)
Li (0.702, 0.298, 0.250)
Np (0.000, 0.000, 0.500)
O (0.093, 0.907, 0.250)
Ag (0.681, 0.319, 0.750)

* ΔE_f (raw): -1.8032 eV per atom
* SG: C2/c (15)
* volume: 14.47 Å³ per atom
* crystal system: monoclinic
* energy: -7.12 eV/atom

Li2NpAgO6: optimized geometry, GGA-PBE.

Lattice parameters (Å, degrees): 5.021 5.566 6.178 116.77 118.73 90.00
Fractional positions:
O (0.612, 0.327, 0.655)
O (0.388, 0.673, 0.345)
O (0.143, 0.661, 0.807)
O (0.143, 0.146, 0.807)
Li (0.154, 0.257, 0.515)
Li (0.846, 0.743, 0.485)
O (0.857, 0.854, 0.193)
Np (0.000, 0.500, 0.000)
O (0.857, 0.339, 0.193)
Ag (0.500, 0.000, 0.000)

* ΔE_f (raw): -1.7817 eV per atom
* SG: C2/m (12)
* volume: 12.99 Å³ per atom
* crystal system: monoclinic
* energy: -6.72 eV/atom

Li2NpAg3O6: optimized geometry, GGA-PBE.

Lattice parameters (Å, degrees): 5.455 5.455 6.546 82.58 82.58 120.00
Fractional positions:
Li (0.667, 0.333, 0.000)
Ag (0.500, 0.500, 0.500)
O (0.946, 0.264, 0.171)
O (0.054, 0.736, 0.829)
O (0.264, 0.946, 0.171)
O (0.736, 0.054, 0.829)
O (0.369, 0.369, 0.829)
O (0.631, 0.631, 0.171)
Ag (0.164, 0.836, 0.500)
Np (0.000, 0.000, 0.000)
Li (0.333, 0.667, 0.000)
Ag (0.836, 0.164, 0.500)

* ΔE_f (raw): -1.5421 eV per atom
* SG: C2/m (12)
* volume: 13.58 Å³ per atom
* crystal system: monoclinic
* energy: -6.13 eV/atom

LiNpAgO6: optimized geometry, GGA-PBE.

Lattice parameters (Å, degrees): 4.924 4.924 9.445 90.00 90.00 90.00
Fractional positions:
O (0.181, 0.819, 0.508)
O (0.798, 0.202, 0.166)
O (0.319, 0.319, 0.008)
O (0.681, 0.681, 0.008)
O (0.317, 0.317, 0.327)
O (0.817, 0.183, 0.827)
O (0.702, 0.702, 0.666)
Li (0.500, 0.500, 0.829)
O (0.683, 0.683, 0.327)
Np (0.000, 0.000, 0.665)
O (0.819, 0.181, 0.508)
Li (0.000, 0.000, 0.329)
Ag (0.000, 0.000, 0.005)
O (0.202, 0.798, 0.166)
Ag (0.500, 0.500, 0.505)
Np (0.500, 0.500, 0.165)
O (0.298, 0.298, 0.666)
O (0.183, 0.817, 0.827)

* ΔE_f (raw): -1.4621 eV per atom
* SG: P4_2nm (102)
* volume: 12.72 Å³ per atom
* crystal system: tetragonal
* energy: -6.73 eV/atom

LiNp2AgO8: optimized geometry, GGA-PBE.

Lattice parameters (Å, degrees): 5.363 5.363 6.339 115.02 115.02 90.00
Fractional positions:
O (0.591, 0.681, 0.763)
Np (0.500, 0.500, 0.000)
Ag (0.000, 0.000, 0.000)
Np (0.250, 0.750, 0.500)
O (0.823, 0.855, 0.266)
O (0.444, 0.412, 0.266)
O (0.319, 0.828, 0.237)
O (0.172, 0.082, 0.763)
O (0.588, 0.177, 0.734)
O (0.918, 0.409, 0.237)
Li (0.750, 0.250, 0.500)
O (0.145, 0.556, 0.734)

* ΔE_f (raw): -1.9538 eV per atom
* SG: I-4 (82)
* volume: 12.17 Å³ per atom
* crystal system: tetragonal
* energy: -7.81 eV/atom

LiNp2Ag3S6: optimized geometry, GGA-PBE.

Lattice parameters (Å, degrees): 4.038 7.741 8.267 99.48 104.14 90.00
Site moments in Bohr magnetons follow the coordinates.
Fractional positions:
S (0.667, 0.096, 0.334)  -0.10
S (0.670, 0.562, 0.340)  -0.11
S (0.997, 0.244, 0.993)  -0.10
Ag (0.169, 0.833, 0.337)  -0.04
Ag (0.831, 0.167, 0.663)  -0.04
S (0.330, 0.438, 0.660)  -0.11
Np (0.841, 0.678, 0.683)  3.33
Ag (0.500, 0.500, 0.000)  -0.04
S (0.333, 0.904, 0.666)  -0.10
S (0.003, 0.756, 0.007)  -0.10
Np (0.159, 0.322, 0.317)  3.33
Li (0.500, 0.000, 0.000)  0.00

* ΔE_f (raw): -0.7954 eV per atom
* SG: C2/m (12)
* volume: 20.58 Å³ per atom
* crystal system: monoclinic
* energy: -5.89 eV/atom

LiNpAgS3: optimized geometry, GGA-PBE.

Lattice parameters (Å, degrees): 3.740 9.756 8.685 116.98 90.00 90.00
Site moments in Bohr magnetons follow the coordinates.
Fractional positions:
S (0.750, 0.350, 0.227)  -0.11
S (0.250, 0.825, 0.499)  -0.06
Ag (0.250, 0.542, 0.388)  -0.03
Np (0.750, 0.848, 0.764)  3.29
Np (0.250, 0.152, 0.236)  3.29
S (0.250, 0.077, 0.894)  -0.13
S (0.750, 0.175, 0.501)  -0.06
S (0.250, 0.650, 0.773)  -0.11
Ag (0.750, 0.458, 0.612)  -0.03
S (0.750, 0.923, 0.106)  -0.13
Li (0.750, 0.879, 0.358)  0.00
Li (0.250, 0.121, 0.642)  0.00

* ΔE_f (raw): -0.9487 eV per atom
* SG: P2_1/m (11)
* volume: 23.53 Å³ per atom
* crystal system: monoclinic
* energy: -5.96 eV/atom

Li2Np3AgS8: optimized geometry, GGA-PBE.

Lattice parameters (Å, degrees): 7.982 7.982 7.632 58.47 58.47 60.00
Site moments in Bohr magnetons follow the coordinates.
Fractional positions:
S (0.720, 0.256, 0.768)  -0.12
Li (0.498, 0.498, 0.507)  0.00
Ag (0.886, 0.886, 0.342)  -0.05
Np (0.001, 0.499, 0.000)  3.05
S (0.743, 0.743, 0.232)  -0.13
S (0.743, 0.743, 0.770)  -0.11
Np (0.499, 0.001, 0.000)  3.05
Np (0.499, 0.499, 0.000)  3.05
Li (0.112, 0.112, 0.665)  0.00
S (0.281, 0.743, 0.232)  -0.13
S (0.743, 0.281, 0.232)  -0.13
S (0.256, 0.256, 0.768)  -0.12
S (0.256, 0.720, 0.768)  -0.12
S (0.255, 0.255, 0.236)  -0.11

* ΔE_f (raw): -1.1116 eV per atom
* SG: R3m (160)
* volume: 23.98 Å³ per atom
* crystal system: trigonal
* energy: -6.72 eV/atom

Li3Np3AgS8: optimized geometry, GGA-PBE.

Lattice parameters (Å, degrees): 7.727 7.727 7.594 120.59 90.00 120.00
Site moments in Bohr magnetons follow the coordinates.
Fractional positions:
S (0.263, 0.009, 0.255)  -0.14
Np (0.000, 0.500, 0.500)  3.33
Li (0.000, 0.500, 0.000)  0.00
S (0.254, 0.991, 0.745)  -0.14
S (0.752, 0.504, 0.756)  -0.09
S (0.746, 0.491, 0.254)  -0.14
S (0.248, 0.496, 0.244)  -0.09
Li (0.500, 0.500, 0.000)  0.00
S (0.254, 0.509, 0.746)  -0.14
Np (0.500, 0.000, 0.500)  3.33
S (0.737, 0.991, 0.745)  -0.14
S (0.746, 0.009, 0.255)  -0.14
Li (0.000, 0.000, 0.000)  0.00
Np (0.500, 0.500, 0.500)  3.33
Ag (0.000, 0.000, 0.500)  -0.09

* ΔE_f (raw): -1.1356 eV per atom
* SG: R-3m (166)
* volume: 21.18 Å³ per atom
* crystal system: trigonal
* energy: -6.50 eV/atom

Li4Np3AgS8: optimized geometry, GGA-PBE.

Lattice parameters (Å, degrees): 7.767 7.611 7.769 120.68 119.99 90.00
Site moments in Bohr magnetons follow the coordinates.
Fractional positions:
S (0.744, 0.249, 0.489)  -0.10
Np (0.500, 0.500, 0.000)  3.51
Li (0.000, 0.000, 0.000)  0.00
S (0.249, 0.246, 0.497)  -0.09
Li (0.000, 0.000, 0.500)  0.00
Ag (0.000, 0.500, 0.000)  -0.04
Li (0.500, 0.000, 0.500)  0.00
S (0.261, 0.249, 0.005)  -0.10
S (0.256, 0.751, 0.511)  -0.10
Np (0.000, 0.500, 0.500)  3.50
S (0.744, 0.249, 0.005)  -0.10
S (0.751, 0.754, 0.503)  -0.09
S (0.256, 0.751, 0.995)  -0.10
S (0.739, 0.751, 0.995)  -0.10
Li (0.500, 0.000, 0.000)  0.00
Np (0.500, 0.500, 0.500)  3.50

* ΔE_f (raw): -1.2074 eV per atom
* SG: R-3m (166)
* volume: 20.09 Å³ per atom
* crystal system: trigonal
* energy: -6.35 eV/atom

Li3Np2AgS6: optimized geometry, GGA-PBE.

Lattice parameters (Å, degrees): 3.909 7.596 8.441 104.19 103.39 90.00
Site moments in Bohr magnetons follow the coordinates.
Fractional positions:
Ag (0.500, 0.000, 0.000)  -0.06
S (0.002, 0.739, 0.005)  -0.11
S (0.670, 0.570, 0.340)  -0.11
Np (0.157, 0.312, 0.315)  3.31
S (0.671, 0.081, 0.342)  -0.10
Li (0.162, 0.824, 0.324)  0.00
S (0.330, 0.430, 0.660)  -0.11
S (0.329, 0.919, 0.658)  -0.10
Li (0.838, 0.176, 0.676)  0.00
Np (0.843, 0.688, 0.685)  3.31
Li (0.500, 0.500, 0.000)  0.00
S (0.998, 0.261, 0.995)  -0.11

* ΔE_f (raw): -1.1534 eV per atom
* SG: C2/m (12)
* volume: 19.66 Å³ per atom
* crystal system: monoclinic
* energy: -6.09 eV/atom

Li2NpAg3S6: optimized geometry, GGA-PBE.

Lattice parameters (Å, degrees): 6.698 6.698 6.325 100.39 100.39 120.08
Site moments in Bohr magnetons follow the coordinates.
Fractional positions:
S (0.925, 0.603, 0.748)  -0.09
S (0.075, 0.397, 0.252)  -0.09
Np (0.000, 0.000, 0.000)  1.76
Li (0.672, 0.328, 0.000)  0.00
Ag (0.850, 0.150, 0.500)  -0.04
Ag (0.500, 0.500, 0.500)  -0.06
Ag (0.150, 0.850, 0.500)  -0.04
S (0.397, 0.075, 0.252)  -0.09
Li (0.328, 0.672, 0.000)  0.00
S (0.265, 0.265, 0.794)  -0.09
S (0.603, 0.925, 0.748)  -0.09
S (0.735, 0.735, 0.206)  -0.09

* ΔE_f (raw): -0.6341 eV per atom
* SG: C2/m (12)
* volume: 19.08 Å³ per atom
* crystal system: monoclinic
* energy: -4.81 eV/atom